12
Lattice="-8.486 4.994 -2.911 -2.204 -3.769 -0.039 1.713 -1.113 10.798" Properties=species:S:1:pos:R:3 comment="CsHoTe3Pd | the Open Quantum Materials Database | GGA-PBE | optimized geometry" m_tot_mub_per_fu=0.00 rho_g_cm3=5.96 energy_ev_per_atom=-4.301 space_group=P2_1/m pbc="T T T"
Te -1.104 -3.241 8.998
Te -7.874 3.352 -1.150
Ho -7.221 0.435 -0.492
Pd -7.491 3.101 1.513
Cs -3.195 -1.946 2.044
Cs -5.783 2.057 5.804
Pd -1.487 -2.990 6.335
Te -4.377 1.291 0.395
Te -4.601 -1.180 7.453
Te -7.763 0.719 2.654
Ho -1.757 -0.323 8.340
Te -1.215 -0.608 5.194